A plane-wave DFT calculation with GGA-PBE was carried out for a relaxed structure of Ti6GaPd2.

abc: 4.250 6.153 7.490
angles: 114.25 106.49 90.00
Positions (direct):
Ti 0.166 0.413 0.331
Ti 0.834 0.082 0.669
Ti 0.834 0.587 0.669
Ti 0.500 0.251 0.000
Ti 0.166 0.918 0.331
Ti 0.500 0.749 0.000
Ga 0.000 0.000 0.000
Pd 0.667 0.667 0.334
Pd 0.333 0.333 0.666

Calculated values
Its formation enthalpy at 0 K is 0.016 eV per atom. The total magnetic moment is 0.0001 μB per atom. The space group is No. 71.



A plane-wave DFT calculation with GGA-PBE was carried out for a relaxed structure of TiGa2Pd8.

abc: 4.118 6.370 7.168
angles: 110.76 106.69 90.00
Positions (direct):
Ti 0.500 0.000 0.000
Ga 0.787 0.342 0.574
Ga 0.213 0.658 0.426
Pd 0.394 0.541 0.787
Pd 0.676 0.929 0.351
Pd 0.849 0.791 0.698
Pd 0.962 0.267 0.924
Pd 0.151 0.209 0.302
Pd 0.324 0.071 0.649
Pd 0.606 0.459 0.213
Pd 0.038 0.733 0.076

Calculated values
Its formation enthalpy at 0 K is -0.524 eV per atom. The total magnetic moment is 0.0000 μB per atom. The space group is No. 12.



A plane-wave DFT calculation with GGA-PBE was carried out for a relaxed structure of Ti2Ga6Pd.

abc: 3.052 6.956 7.935
angles: 115.99 90.03 90.00
Positions (direct):
Ti 0.500 0.696 0.393
Ti 0.500 0.304 0.607
Ga 0.000 0.348 0.322
Ga 0.000 0.026 0.678
Ga 0.000 0.652 0.678
Ga 0.500 0.311 0.000
Ga 0.000 0.974 0.322
Ga 0.500 0.689 0.000
Pd 0.000 0.000 0.000

Calculated values
Its formation enthalpy at 0 K is -0.282 eV per atom. The total magnetic moment is 0.0000 μB per atom. The space group is No. 65.



Question: formation enthalpy at 0 K of number 1 (Ti6GaPd2)?
Answer: 0.016 eV per atom